GGA-PBE Rb2FeAgCl, relaxed; ΔE_f (raw) = 217 kJ/mol of formula units; crystal system = tetragonal; total DFT energy (no corrections) = -2.570 eV/atom; N(E_F) = 2.156 states/eV/atom
1.0
6.8119 0.0000 0.0000
0.0000 6.8119 0.0000
0.0000 0.0000 5.0762
Rb Fe Ag Cl
2 1 1 1
direct
0.0000 0.5000 0.0000 Rb
0.5000 0.0000 0.0000 Rb
0.0000 0.0000 0.5000 Fe
0.5000 0.5000 0.0000 Ag
0.5000 0.5000 0.5000 Cl

---

GGA-PBE Cs2TbPdI6, relaxed; ΔE_f (raw) = -1109 kJ/mol of formula units; crystal system = trigonal; total DFT energy (no corrections) = -3.233 eV/atom; N(E_F) = 0.551 states/eV/atom
1.0
4.2457 2.4512 13.9412
-4.2457 2.4512 13.9412
0.0000 -4.9025 13.9412
Cs Tb Pd I
4 2 2 12
direct
0.1206 0.1206 0.1206 Cs
0.2958 0.2958 0.2958 Cs
0.7042 0.7042 0.7042 Cs
0.8794 0.8794 0.8794 Cs
0.4174 0.4174 0.4174 Tb
0.5826 0.5826 0.5826 Tb
0.0000 0.0000 0.0000 Pd
0.5000 0.5000 0.5000 Pd
0.1274 0.6266 0.6266 I
0.2058 0.2058 0.7127 I
0.2058 0.7127 0.2058 I
0.2873 0.7942 0.7942 I
0.3734 0.3734 0.8726 I
0.3734 0.8726 0.3734 I
0.6266 0.1274 0.6266 I
0.6266 0.6266 0.1274 I
0.7127 0.2058 0.2058 I
0.7942 0.2873 0.7942 I
0.7942 0.7942 0.2873 I
0.8726 0.3734 0.3734 I